AgRu | GGA-PBE | relaxed

- ΔE_f: 0.277 eV per atom
- Magnetization: 0.000 μB/atom
- N(E_F): 1.01 states/eV per atom

Cell: 9.4839 9.4839 9.4839 Å, 17.01 17.01 17.01°
Fractional positions:
1 Ru 0.4933 0.4933 0.4933
2 Ag 0.2472 0.2472 0.2472
3 Ag 0.0028 0.0028 0.0028
4 Ru 0.7567 0.7567 0.7567

=====

AgRu2 | GGA-PBE | relaxed

- ΔE_f: 0.431 eV per atom
- Energy relative to the lowest polymorph listed for this composition: 0.138 eV/atom
- Magnetization: 0.000 μB/atom
- N(E_F): 0.59 states/eV per atom

Cell: 4.9958 4.9958 4.9958 Å, 147.64 136.15 55.53°
Fractional positions:
1 Ag 0.0000 0.0000 0.0000
2 Ru 0.6853 0.6853 0.0000
3 Ru 0.3147 0.3147 0.0000

=====

Ag3Ru | GGA-PBE | relaxed

- ΔE_f: 0.540 eV per atom
- Magnetization: 0.397 μB/atom
- N(E_F): 1.03 states/eV per atom

Cell: 8.3895 8.3895 8.3895 Å, 151.21 151.21 41.18°
Last column: magnetic moment on the atom in μB.
Fractional positions:
1 Ag 0.5000 0.0000 0.5000  0.01
2 Ag 0.0000 0.5000 0.5000  0.01
3 Ag 0.7500 0.2500 0.5000  0.04
4 Ag 0.2500 0.7500 0.5000  0.04
5 Ru 0.6252 0.6252 0.0000  1.52
6 Ru 0.3748 0.3748 0.0000  1.52
7 Ag 0.1256 0.1256 0.0000  0.02
8 Ag 0.8744 0.8744 0.0000  0.02

=====

AgRu | GGA-PBE | relaxed

- ΔE_f: 0.619 eV per atom
- Magnetization: 0.000 μB/atom
- N(E_F): 1.27 states/eV per atom

Cell: 2.7247 13.9046 5.2690 Å, 90.00 90.00 90.00°
Fractional positions:
1 Ru 0.5000 0.6349 0.8595
2 Ag 0.0000 0.8145 0.8398
3 Ru 0.5000 0.8651 0.3595
4 Ru 0.0000 0.0000 0.5540
5 Ru 0.5000 0.3651 0.8595
6 Ag 0.0000 0.1855 0.8398
7 Ag 0.0000 0.6855 0.3398
8 Ag 0.0000 0.3145 0.3398
9 Ag 0.0000 0.5000 0.5455
10 Ru 0.0000 0.5000 0.0540
11 Ag 0.0000 0.0000 0.0455
12 Ru 0.5000 0.1349 0.3595

=====

Ag3Ru | GGA-PBE | relaxed

- ΔE_f: 0.412 eV per atom
- Magnetization: 0.019 μB/atom
- N(E_F): 0.75 states/eV per atom

Cell: 5.1310 5.1310 2.7149 Å, 90.00 90.00 110.65°
Last column: magnetic moment on the atom in μB.
Fractional positions:
1 Ag 0.0000 0.0000 0.0000  0.00
2 Ag 0.0000 0.5000 0.5000  0.00
3 Ru 0.5000 0.5000 0.0000  0.07
4 Ag 0.5000 0.0000 0.5000  0.00

=====

AgRu | GGA-PBE | relaxed

- ΔE_f: 1.275 eV per atom
- Magnetization: 0.655 μB/atom
- N(E_F): 1.07 states/eV per atom

Cell: 5.2542 5.2542 5.3800 Å, 90.00 90.00 90.00°
Last column: magnetic moment on the atom in μB.
Fractional positions:
1 Ru 0.1617 0.1617 0.5000  1.23
2 Ru 0.6617 0.3383 0.0000  1.23
3 Ag 0.1781 0.1781 0.0000  0.03
4 Ru 0.8383 0.8383 0.5000  1.23
5 Ag 0.6781 0.3219 0.5000  0.03
6 Ag 0.3219 0.6781 0.5000  0.03
7 Ru 0.3383 0.6617 0.0000  1.23
8 Ag 0.8219 0.8219 0.0000  0.03

=====

Ag2RuS | GGA-PBE | relaxed

- Energy: -4.222 eV per atom
- Magnetization: 0.040 μB/atom
- N(E_F): 0.96 states/eV per atom

Cell: 8.3754 8.3754 6.3206 Å, 48.51 48.51 90.00°
Last column: magnetic moment on the atom in μB.
Fractional positions:
1 Ag 0.2162 0.6250 0.2500  0.00
2 S 0.5000 0.5000 0.0000  0.00
3 Ag 0.8750 0.7838 0.7500  0.00
4 Ag 0.3750 0.4662 0.7500  0.00
5 Ru 0.7500 0.2500 0.5000  0.14
6 S 0.2500 0.7500 0.5000  0.00
7 Ru 0.0000 0.0000 0.0000  0.14
8 Ag 0.5338 0.1250 0.2500  0.00

=====

AgRuS3 | GGA-PBE | relaxed

- Energy relative to the lowest polymorph listed for this composition: 0.000 eV/atom
- Magnetization: 0.000 μB/atom
- N(E_F): 1.53 states/eV per atom

Cell: 4.6457 4.6457 4.6457 Å, 90.00 90.00 90.00°
Fractional positions:
1 S 0.5000 0.0000 0.0000
2 S 0.0000 0.0000 0.5000
3 Ag 0.5000 0.5000 0.5000
4 Ru 0.0000 0.0000 0.0000
5 S 0.0000 0.5000 0.0000

=====

Q: Which value of magnetization does entry 4 give?
A: 0.000 μB/atom

=====

Q: magnetization of number 3 (Ag3Ru)?
A: 0.397 μB/atom